Record 1
Density functional theory data (PBE) for a geometry-optimized UCo2H6 structure.

Cell lengths 4.3705, 4.3705, 4.0400 Å; angles 90.43, 90.43, 122.34 degrees
Element x y z (fractional)
U: 0.0000 0.0000 0.0000
Co: 0.3371 0.6629 0.5000
Co: 0.6629 0.3371 0.5000
H: 0.0038 0.5019 0.7727
H: 0.2584 0.2584 0.5052
H: 0.4981 0.9962 0.2273
H: 0.5019 0.0038 0.7727
H: 0.7416 0.7416 0.4948
H: 0.9962 0.4981 0.2273

Space group: C2/m
Final energy (eV/atom): -5.22
V (Å³ per cell): 65.2
Size of the total moment (μB per cell): 1.33



Record 2
Density functional theory data (PBE) for a geometry-optimized U2Co9H structure.

Cell lengths 3.7974, 3.7974, 10.0083 Å; angles 90.00, 90.00, 90.00 degrees
Element x y z (fractional)
U: 0.0000 0.0000 0.1875
U: 0.0000 0.0000 0.8125
Co: 0.0000 0.5000 0.0000
Co: 0.0000 0.5000 0.3662
Co: 0.0000 0.5000 0.6338
Co: 0.5000 0.0000 0.0000
Co: 0.5000 0.0000 0.3662
Co: 0.5000 0.0000 0.6338
Co: 0.5000 0.5000 0.1840
Co: 0.5000 0.5000 0.5000
Co: 0.5000 0.5000 0.8160
H: 0.0000 0.0000 0.5000

Space group: P4/mmm
Final energy (eV/atom): -7.48
V (Å³ per cell): 144.3
Size of the total moment (μB per cell): 5.81



Record 3
Density functional theory data (PBE) for a geometry-optimized UCoH structure.

Cell lengths 3.2722, 3.2722, 3.8650 Å; angles 90.00, 90.00, 120.00 degrees
Element x y z (fractional)
U: 0.0000 0.0000 0.0000
Co: 0.6667 0.3333 0.4992
H: 0.3333 0.6667 0.5007

Space group: P3m1
Final energy (eV/atom): -7.18
V (Å³ per cell): 35.8
E above lowest polymorph (meV/atom): 43
Size of the total moment (μB per cell): 0.00



Record 4
Density functional theory data (PBE) for a geometry-optimized U2Co2H7 structure.

Cell lengths 5.1625, 5.1625, 3.7219 Å; angles 98.59, 98.59, 107.89 degrees
Element x y z (fractional)
U: 0.2259 0.7741 0.0000
U: 0.7741 0.2259 0.0000
Co: 0.2752 0.2752 0.4380
Co: 0.7248 0.7248 0.5620
H: 0.0000 0.0000 0.5000
H: 0.0392 0.3728 0.6075
H: 0.3728 0.0392 0.6075
H: 0.4666 0.4666 0.2129
H: 0.5334 0.5334 0.7871
H: 0.6272 0.9608 0.3925
H: 0.9608 0.6272 0.3925

Space group: C2/m
Final energy (eV/atom): -5.50
V (Å³ per cell): 91.3
Size of the total moment (μB per cell): 3.99



Record 5
Density functional theory data (PBE) for a geometry-optimized UCoH structure.

Cell lengths 4.0126, 4.0126, 5.1900 Å; angles 111.49, 111.49, 90.11 degrees
Element x y z (fractional)
U: 0.1977 0.1977 0.4253
U: 0.8023 0.8023 0.5747
Co: 0.0000 0.5000 0.0000
Co: 0.5000 0.0000 0.0000
H: 0.4021 0.4021 0.1330
H: 0.5979 0.5979 0.8670

Space group: C2/m
Final energy (eV/atom): -7.23
V (Å³ per cell): 71.5
E above lowest polymorph (meV/atom): 0
Size of the total moment (μB per cell): 3.40



Record 6
Density functional theory data (PBE) for a geometry-optimized U3Co5H12 structure.

Cell lengths 9.6352, 9.6352, 9.6352 Å; angles 109.47, 109.47, 109.47 degrees
Element x y z (fractional)
U: 0.1250 0.2500 0.3750
U: 0.1250 0.3750 0.7500
U: 0.2500 0.3750 0.1250
U: 0.2500 0.8750 0.6250
U: 0.3750 0.1250 0.2500
U: 0.3750 0.7500 0.1250
U: 0.6250 0.2500 0.8750
U: 0.6250 0.8750 0.7500
U: 0.7500 0.1250 0.3750
U: 0.7500 0.6250 0.8750
U: 0.8750 0.6250 0.2500
U: 0.8750 0.7500 0.6250
Co: 0.0000 0.0000 0.0000
Co: 0.0000 0.0000 0.5000
Co: 0.0000 0.5000 0.0000
Co: 0.0000 0.5000 0.5000
Co: 0.1250 0.7500 0.8750
Co: 0.1250 0.8750 0.2500
Co: 0.2500 0.1250 0.8750
Co: 0.2500 0.6250 0.3750
Co: 0.3750 0.2500 0.6250
Co: 0.3750 0.6250 0.7500
Co: 0.5000 0.0000 0.0000
Co: 0.5000 0.0000 0.5000
Co: 0.5000 0.5000 0.0000
Co: 0.5000 0.5000 0.5000
Co: 0.6250 0.3750 0.2500
Co: 0.6250 0.7500 0.3750
Co: 0.7500 0.3750 0.6250
Co: 0.7500 0.8750 0.1250
Co: 0.8750 0.1250 0.7500
Co: 0.8750 0.2500 0.1250
H: 0.0083 0.1860 0.0971
H: 0.0083 0.3223 0.9113
H: 0.0887 0.5971 0.4111
H: 0.0889 0.6860 0.6777
H: 0.0889 0.9029 0.4113
H: 0.0887 0.9917 0.6777
H: 0.0971 0.0083 0.1860
H: 0.0971 0.5887 0.9111
H: 0.1777 0.1860 0.5889
H: 0.1777 0.4917 0.5887
H: 0.1860 0.0971 0.0083
H: 0.1860 0.5889 0.1777
H: 0.3140 0.3223 0.9111
H: 0.3140 0.4917 0.4029
H: 0.3223 0.9113 0.0083
H: 0.3223 0.9111 0.3140
H: 0.4029 0.3140 0.4917
H: 0.4029 0.5889 0.9113
H: 0.4111 0.0887 0.5971
H: 0.4113 0.0889 0.9029
H: 0.4113 0.8223 0.5083
H: 0.4111 0.8223 0.8140
H: 0.4917 0.4029 0.3140
H: 0.4917 0.5887 0.1777
H: 0.5083 0.4113 0.8223
H: 0.5083 0.5971 0.6860
H: 0.5889 0.1777 0.1860
H: 0.5887 0.1777 0.4917
H: 0.5887 0.9111 0.0971
H: 0.5889 0.9113 0.4029
H: 0.5971 0.4111 0.0887
H: 0.5971 0.6860 0.5083
H: 0.6777 0.0889 0.6860
H: 0.6777 0.0887 0.9917
H: 0.6860 0.5083 0.5971
H: 0.6860 0.6777 0.0889
H: 0.8140 0.4111 0.8223
H: 0.8140 0.9029 0.9917
H: 0.8223 0.5083 0.4113
H: 0.8223 0.8140 0.4111
H: 0.9029 0.4113 0.0889
H: 0.9029 0.9917 0.8140
H: 0.9113 0.0083 0.3223
H: 0.9111 0.0971 0.5887
H: 0.9111 0.3140 0.3223
H: 0.9113 0.4029 0.5889
H: 0.9917 0.6777 0.0887
H: 0.9917 0.8140 0.9029

Space group: Ia-3d
Final energy (eV/atom): -5.50
V (Å³ per cell): 688.6
Size of the total moment (μB per cell): 33.70



Record 7
Density functional theory data (PBE) for a geometry-optimized UCo2H7 structure.

Cell lengths 4.9480, 4.9480, 3.3479 Å; angles 90.00, 90.00, 122.17 degrees
Element x y z (fractional)
U: 0.0000 0.0000 0.0000
Co: 0.3154 0.6846 0.5000
Co: 0.6846 0.3154 0.5000
H: 0.0276 0.3224 0.5000
H: 0.3224 0.0276 0.5000
H: 0.3243 0.6757 0.0000
H: 0.5000 0.5000 0.5000
H: 0.6757 0.3243 0.0000
H: 0.6776 0.9724 0.5000
H: 0.9724 0.6776 0.5000

Space group: Cmmm
Final energy (eV/atom): -4.97
V (Å³ per cell): 69.4
Size of the total moment (μB per cell): 2.95



Record 8
Density functional theory data (PBE) for a geometry-optimized U2ZnCo3H12 structure.

Cell lengths 5.5161, 5.5161, 5.5161 Å; angles 66.39, 66.39, 66.39 degrees
Element x y z (fractional)
U: 0.0942 0.0942 0.0942
U: 0.9058 0.9058 0.9058
Zn: 0.5000 0.5000 0.5000
Co: 0.0000 0.5000 0.5000
Co: 0.5000 0.0000 0.5000
Co: 0.5000 0.5000 0.0000
H: 0.1027 0.6290 0.6290
H: 0.1852 0.1852 0.6189
H: 0.1852 0.6189 0.1852
H: 0.3710 0.3710 0.8973
H: 0.3710 0.8973 0.3710
H: 0.3811 0.8148 0.8148
H: 0.6189 0.1852 0.1852
H: 0.6290 0.1027 0.6290
H: 0.6290 0.6290 0.1027
H: 0.8148 0.3811 0.8148
H: 0.8148 0.8148 0.3811
H: 0.8973 0.3710 0.3710

Space group: R-3m
Final energy (eV/atom): -4.76
V (Å³ per cell): 135.0
Size of the total moment (μB per cell): 3.16



Copy entry 6 word for word.
Density functional theory data (PBE) for a geometry-optimized U3Co5H12 structure.

Cell lengths 9.6352, 9.6352, 9.6352 Å; angles 109.47, 109.47, 109.47 degrees
Element x y z (fractional)
U: 0.1250 0.2500 0.3750
U: 0.1250 0.3750 0.7500
U: 0.2500 0.3750 0.1250
U: 0.2500 0.8750 0.6250
U: 0.3750 0.1250 0.2500
U: 0.3750 0.7500 0.1250
U: 0.6250 0.2500 0.8750
U: 0.6250 0.8750 0.7500
U: 0.7500 0.1250 0.3750
U: 0.7500 0.6250 0.8750
U: 0.8750 0.6250 0.2500
U: 0.8750 0.7500 0.6250
Co: 0.0000 0.0000 0.0000
Co: 0.0000 0.0000 0.5000
Co: 0.0000 0.5000 0.0000
Co: 0.0000 0.5000 0.5000
Co: 0.1250 0.7500 0.8750
Co: 0.1250 0.8750 0.2500
Co: 0.2500 0.1250 0.8750
Co: 0.2500 0.6250 0.3750
Co: 0.3750 0.2500 0.6250
Co: 0.3750 0.6250 0.7500
Co: 0.5000 0.0000 0.0000
Co: 0.5000 0.0000 0.5000
Co: 0.5000 0.5000 0.0000
Co: 0.5000 0.5000 0.5000
Co: 0.6250 0.3750 0.2500
Co: 0.6250 0.7500 0.3750
Co: 0.7500 0.3750 0.6250
Co: 0.7500 0.8750 0.1250
Co: 0.8750 0.1250 0.7500
Co: 0.8750 0.2500 0.1250
H: 0.0083 0.1860 0.0971
H: 0.0083 0.3223 0.9113
H: 0.0887 0.5971 0.4111
H: 0.0889 0.6860 0.6777
H: 0.0889 0.9029 0.4113
H: 0.0887 0.9917 0.6777
H: 0.0971 0.0083 0.1860
H: 0.0971 0.5887 0.9111
H: 0.1777 0.1860 0.5889
H: 0.1777 0.4917 0.5887
H: 0.1860 0.0971 0.0083
H: 0.1860 0.5889 0.1777
H: 0.3140 0.3223 0.9111
H: 0.3140 0.4917 0.4029
H: 0.3223 0.9113 0.0083
H: 0.3223 0.9111 0.3140
H: 0.4029 0.3140 0.4917
H: 0.4029 0.5889 0.9113
H: 0.4111 0.0887 0.5971
H: 0.4113 0.0889 0.9029
H: 0.4113 0.8223 0.5083
H: 0.4111 0.8223 0.8140
H: 0.4917 0.4029 0.3140
H: 0.4917 0.5887 0.1777
H: 0.5083 0.4113 0.8223
H: 0.5083 0.5971 0.6860
H: 0.5889 0.1777 0.1860
H: 0.5887 0.1777 0.4917
H: 0.5887 0.9111 0.0971
H: 0.5889 0.9113 0.4029
H: 0.5971 0.4111 0.0887
H: 0.5971 0.6860 0.5083
H: 0.6777 0.0889 0.6860
H: 0.6777 0.0887 0.9917
H: 0.6860 0.5083 0.5971
H: 0.6860 0.6777 0.0889
H: 0.8140 0.4111 0.8223
H: 0.8140 0.9029 0.9917
H: 0.8223 0.5083 0.4113
H: 0.8223 0.8140 0.4111
H: 0.9029 0.4113 0.0889
H: 0.9029 0.9917 0.8140
H: 0.9113 0.0083 0.3223
H: 0.9111 0.0971 0.5887
H: 0.9111 0.3140 0.3223
H: 0.9113 0.4029 0.5889
H: 0.9917 0.6777 0.0887
H: 0.9917 0.8140 0.9029

Space group: Ia-3d
Final energy (eV/atom): -5.50
V (Å³ per cell): 688.6
Size of the total moment (μB per cell): 33.70



> Which value of final energy does entry 5 give?

-7.23 eV/atom



> The lowest V belongs to which entry?

number 3